No. 1
Material: YFe2Hg
Method: DFT, PBE
State: optimized geometry

Calculated values
D(E_F) in states/eV/atom: 1.192
Total moment in μB/f.u.: 4.9
E_form in meV per atom: 255
DFT total energy in eV per cell: -22.67

```
YFe2Hg
1.0
0.000 3.336 3.336
3.336 0.000 3.336
3.336 3.336 0.000
Y Fe Hg
1 2 1
direct
0.000 0.000 0.000
0.500 0.500 0.500
0.750 0.750 0.750
0.250 0.250 0.250
```

=====

No. 2
Material: Y2FeHg2
Method: DFT, PBE
State: optimized geometry

Calculated values
Energy relative to the lowest polymorph listed for this composition in meV per atom: 104
D(E_F) in states/eV/atom: 0.982
Total moment in μB/f.u.: 0.0
E_form in meV per atom: 315
DFT total energy in eV per cell: -20.42

```
Y2FeHg2
1.0
-1.907 1.907 8.837
1.907 -1.907 8.837
1.907 1.907 -8.837
Y Fe Hg
2 1 2
direct
0.088 0.088 0.000
0.912 0.912 0.000
0.500 0.500 0.000
0.250 0.750 0.500
0.750 0.250 0.500
```

=====

No. 3
Material: Y2FeHg2
Method: DFT, PBE
State: optimized geometry

Calculated values
Energy relative to the lowest polymorph listed for this composition in meV per atom: 0
D(E_F) in states/eV/atom: 0.789
Total moment in μB/f.u.: 0.0
E_form in meV per atom: 211
DFT total energy in eV per cell: -41.88

```
Y2FeHg2
1.0
7.247 0.000 0.000
0.000 7.247 0.000
0.000 0.000 4.752
Y Fe Hg
4 2 4
direct
0.169 0.331 0.000
0.331 0.831 0.000
0.669 0.169 0.000
0.831 0.669 0.000
0.000 0.000 0.000
0.500 0.500 0.000
0.145 0.645 0.500
0.355 0.145 0.500
0.645 0.855 0.500
0.855 0.355 0.500
```

=====

No. 4
Material: YFe2Hg
Method: DFT, PBE
State: optimized geometry

Calculated values
D(E_F) in states/eV/atom: 1.013
Total moment in μB/f.u.: 5.1
E_form in meV per atom: 574
DFT total energy in eV per cell: -21.40

```
YFe2Hg
1.0
1.572 0.908 9.035
-1.572 0.908 9.035
0.000 -1.815 9.035
Y Fe Hg
1 2 1
direct
0.000 0.000 0.000
0.247 0.247 0.247
0.753 0.753 0.753
0.500 0.500 0.500
```